No. 1
# HoAl2Ga3

An optimized crystal structure of HoAl2Ga3 (PBE, Alexandria via LeMat-Bulk).

Unit cell a=5.5164 b=5.5471 c=8.6378 alpha=109.07 beta=83.19 gamma=111.77
Closest atoms and distances in Å follow each position.
Atoms (fractional coordinates):
Al1 0.9567 0.2435 0.9991  2 Ga 2.62-2.81, 5 Al 2.70-2.92
Al2 0.0433 0.7565 0.0009  2 Ga 2.62-2.81, 5 Al 2.70-2.92
Al3 0.4562 0.2423 0.9990  2 Ga 2.62-2.81, 5 Al 2.71-2.91
Al4 0.5438 0.7577 0.0010  2 Ga 2.62-2.81, 5 Al 2.71-2.91
Ga1 0.3546 0.6877 0.7187  3 Ga 2.57-2.60, 2 Al 2.62-2.81
Ga2 0.7491 0.7617 0.5235  4 Ga 2.58-2.60
Ga3 0.1474 0.0326 0.7166  3 Ga 2.57-2.59, 2 Al 2.62-2.81
Ga4 0.8526 0.9674 0.2834  3 Ga 2.57-2.59, 2 Al 2.62-2.81
Ga5 0.6454 0.3123 0.2813  3 Ga 2.57-2.60, 2 Al 2.62-2.81
Ga6 0.2509 0.2383 0.4765  4 Ga 2.58-2.60
Ho1 0.2498 0.6629 0.3284  8 Ga 3.02-3.34, 2 Al 3.18-3.19
Ho2 0.7502 0.3371 0.6716  8 Ga 3.02-3.34, 2 Al 3.18-3.19

Calculated values
energy of formation	-0.2576	eV per atom
excess energy over the best structure of this formula in the dataset	0.049	eV/atom
mass density	6.13	g/cm³
magnetic moment	0.0000	μB per atom

No. 2
# Ho2Al2Ga

An optimized crystal structure of Ho2Al2Ga (PBE, Alexandria via LeMat-Bulk).

Unit cell a=4.4184 b=5.7893 c=9.6210 alpha=88.92 beta=76.73 gamma=67.57
Closest atoms and distances in Å follow each position.
Atoms (fractional coordinates):
Al1 0.0775 0.2809 0.5642  3 Ga 2.60-2.89, 1 Al 2.72
Al2 0.9225 0.7191 0.4358  3 Ga 2.60-2.89, 1 Al 2.72
Al3 0.6394 0.8359 0.8853  1 Ga 2.61, 1 Al 2.67
Al4 0.3606 0.1641 0.1147  1 Ga 2.61, 1 Al 2.67
Ga1 0.6122 0.1091 0.6665  4 Al 2.60-2.89
Ga2 0.3878 0.8909 0.3335  4 Al 2.60-2.89
Ho1 0.0840 0.7341 0.0978  6 Al 3.05-3.18, 2 Ga 3.19
Ho2 0.3181 0.6923 0.6715  7 Al 3.04-3.38, 3 Ga 3.12-3.14
Ho3 0.6819 0.3077 0.3285  7 Al 3.04-3.38, 3 Ga 3.12-3.14
Ho4 0.9160 0.2659 0.9022  6 Al 3.05-3.18, 2 Ga 3.19

Calculated values
energy of formation	-0.5034	eV per atom
mass density	6.82	g/cm³
magnetic moment	0.0000	μB per atom

No. 3
# Ho8AlGa2

An optimized crystal structure of Ho8AlGa2 (PBE, Alexandria via LeMat-Bulk).

Unit cell a=5.0022 b=6.8189 c=9.2508 alpha=101.89 beta=105.69 gamma=90.00
Closest atoms and distances in Å follow each position.
Atoms (fractional coordinates):
Ho1 0.1988 0.3050 0.3975  3 Ga 2.95-3.20
Ho2 0.4086 0.5416 0.8172  1 Al 3.20, 6 Ho 3.38-3.44, 2 Ga 3.41
Ho3 0.9739 0.2395 0.9478  1 Ga 3.02, 2 Al 3.08
Ho4 0.0261 0.7605 0.0522  1 Ga 3.02, 2 Al 3.08
Ho5 0.8012 0.6950 0.6025  3 Ga 2.95-3.20
Ho6 0.5914 0.4584 0.1828  1 Al 3.20, 6 Ho 3.38-3.44, 2 Ga 3.41
Ho7 0.3369 0.0405 0.6737  3 Ga 2.93-3.04, 1 Al 2.98
Ho8 0.6631 0.9595 0.3263  3 Ga 2.93-3.04, 1 Al 2.98
Ga1 0.1933 0.7351 0.3866  7 Ho 2.93-3.20
Ga2 0.8067 0.2649 0.6134  7 Ho 2.93-3.20
Al1 0.5000 0.0000 0.0000  8 Ho 2.98-3.20

Calculated values
energy of formation	-0.2575	eV per atom
mass density	8.31	g/cm³
magnetic moment	0.0000	μB per atom